# 1
Here is a relaxed structure of PmMnGe3 from Alexandria via LeMat-Bulk. Energies are from PBE.

Computed properties:
The formation enthalpy at 0 K comes out at -0.401 eV/atom. The calculation puts the density of states at the Fermi level at 3.650 states/eV per cell.

a = 6.148 Å, b = 6.148 Å, c = 5.668 Å
α = 90.00°, β = 90.00°, γ = 120.00°
Fractional positions:
1 Pm 0.333 0.667 0.250
2 Pm 0.667 0.333 0.750
3 Mn 0.000 0.000 0.000
4 Mn 0.000 0.000 0.500
5 Ge 0.192 0.383 0.750
6 Ge 0.192 0.808 0.750
7 Ge 0.383 0.192 0.250
8 Ge 0.617 0.808 0.750
9 Ge 0.808 0.192 0.250
10 Ge 0.808 0.617 0.250

# 2
Here is a relaxed structure of Y2BeSi from Alexandria via LeMat-Bulk. Energies are from PBE.

Computed properties:
The uncorrected formation energy is 0.146 eV/atom. The calculation puts the density of states at the Fermi level at 5.254 states/eV per cell.

a = 6.271 Å, b = 6.271 Å, c = 6.271 Å
α = 106.72°, β = 106.72°, γ = 115.12°
Fractional positions:
1 Y 0.116 0.625 0.991
2 Y 0.375 0.366 0.491
3 Y 0.634 0.125 0.009
4 Y 0.875 0.884 0.509
5 Be 0.000 0.000 0.000
6 Be 0.750 0.250 0.500
7 Si 0.250 0.750 0.500
8 Si 0.500 0.500 0.000

# 3
Here is a relaxed structure of RbGaGe3 from Alexandria via LeMat-Bulk. Energies are from PBE.

Computed properties:
The formation enthalpy at 0 K comes out at 0.142 eV/atom. The calculation puts the density of states at the Fermi level at 1.782 states/eV per cell.

a = 5.107 Å, b = 5.107 Å, c = 5.107 Å
α = 86.96°, β = 86.96°, γ = 86.96°
Fractional positions:
1 Rb 0.000 0.000 0.000
2 Ga 0.614 0.614 0.614
3 Ge 0.115 0.488 0.488
4 Ge 0.488 0.115 0.488
5 Ge 0.488 0.488 0.115

# 4
Here is a relaxed structure of ScP2OsS from Alexandria via LeMat-Bulk. Energies are from PBE.

Computed properties:
The uncorrected formation energy is 0.169 eV/atom. The calculation puts the density of states at the Fermi level at 3.495 states/eV per cell.

a = 4.447 Å, b = 4.447 Å, c = 5.173 Å
α = 90.00°, β = 90.00°, γ = 90.00°
Fractional positions:
1 Sc 0.000 0.000 0.000
2 P 0.000 0.500 0.500
3 P 0.500 0.000 0.500
4 Os 0.500 0.500 0.500
5 S 0.500 0.500 0.000

# 5
Here is a relaxed structure of Li2DyBr4 from Alexandria via LeMat-Bulk. Energies are from PBE.

Computed properties:
The uncorrected formation energy is -1.396 eV/atom. The calculation puts the density of states at the Fermi level at 0.713 states/eV per cell.

a = 6.758 Å, b = 6.758 Å, c = 6.758 Å
α = 105.69°, β = 105.69°, γ = 117.34°
Fractional positions:
1 Li 0.250 0.750 0.500
2 Li 0.750 0.250 0.500
3 Dy 0.000 0.000 0.000
4 Br 0.140 0.686 0.826
5 Br 0.314 0.140 0.454
6 Br 0.686 0.860 0.546
7 Br 0.860 0.314 0.174

# 6
Here is a relaxed structure of Na2AgHPd from Alexandria via LeMat-Bulk. Energies are from PBE.

Computed properties:
The calculation puts the uncorrected energy at -2.924 eV per atom. The calculation puts the density of states at the Fermi level at 0.560 states/eV per cell.

a = 4.998 Å, b = 4.998 Å, c = 3.492 Å
α = 90.00°, β = 90.00°, γ = 90.00°
Fractional positions:
1 Na 0.000 0.500 0.000
2 Na 0.500 0.000 0.000
3 Ag 0.000 0.000 0.500
4 H 0.500 0.500 0.000
5 Pd 0.500 0.500 0.500